Record 1
A plane-wave DFT calculation with PBE-GGA was carried out for Ac2Ni6Ge3 after structural relaxation.

**Energy relative to the elements**: -0.356 eV/atom
**Spin magnetization**: 0.0 μB per cell

Cell: 4.2380 7.3044 7.3044 Å, 120.00 90.00 90.00°
Sites, in units of the cell vectors:
Ac 0.0000 0.6667 0.3333
Ac 0.0000 0.3333 0.6667
Ni 0.5000 0.7127 0.7127
Ni 0.5000 0.0000 0.2873
Ni 0.0000 0.1906 0.1906
Ni 0.0000 0.8094 0.0000
Ni 0.5000 0.2873 0.0000
Ni 0.0000 0.0000 0.8094
Ge 0.5000 0.3522 0.3522
Ge 0.5000 0.6478 0.0000
Ge 0.5000 0.0000 0.6478

Record 2
A plane-wave DFT calculation with PBE-GGA was carried out for KScTi after structural relaxation.

**Energy relative to the elements**: 0.424 eV/atom
**Spin magnetization**: 1.6 μB per cell

Cell: 12.8732 4.7640 3.2200 Å, 90.00 89.11 90.01°
Each line ends with the local moment (μB).
Sites, in units of the cell vectors:
Sc 0.0224 0.4355 0.3130  0.02
Sc 0.9365 0.9354 0.8186  0.18
K 0.4179 0.9359 0.2830  0.01
K 0.7148 0.4353 0.3310  0.01
Ti 0.1411 0.9356 0.3066  0.16
Ti 0.2105 0.4360 0.8017  0.54

Record 3
A plane-wave DFT calculation with PBE-GGA was carried out for AcThRu2 after structural relaxation.

**Energy relative to the elements**: -0.087 eV/atom
**Spin magnetization**: 0.0 μB per cell

Cell: 5.1177 5.1177 5.1177 Å, 60.00 60.00 60.00°
Sites, in units of the cell vectors:
Ru 0.2500 0.2500 0.2500
Ru 0.7500 0.7500 0.7500
Ac 0.0000 0.0000 0.0000
Th 0.5000 0.5000 0.5000

Record 4
A plane-wave DFT calculation with PBE-GGA was carried out for DyTlCuBr5 after structural relaxation.

**Raw formation energy**: -1.20 eV per atom
**Spin magnetization**: 0.3 μB per cell

Cell: 7.7409 7.7409 10.5018 Å, 103.72 103.72 106.65°
Each line ends with the local moment (μB).
Sites, in units of the cell vectors:
Dy 0.0000 0.0000 0.5000  0.00
Dy 0.0000 0.0000 0.0000  0.00
Tl 0.3579 0.6421 0.2500  0.00
Tl 0.6421 0.3579 0.7500  0.00
Cu 0.6918 0.3082 0.2500  0.12
Cu 0.3082 0.6918 0.7500  0.12
Br 0.0824 0.9176 0.2500  0.00
Br 0.9176 0.0824 0.7500  0.00
Br 0.9109 0.3167 0.1149  0.01
Br 0.0891 0.6833 0.8851  0.01
Br 0.6833 0.0891 0.3851  0.01
Br 0.3167 0.9109 0.6149  0.01
Br 0.7587 0.6184 0.4307  0.01
Br 0.2413 0.3816 0.5693  0.01
Br 0.3816 0.2413 0.0693  0.01
Br 0.6184 0.7587 0.9307  0.01

Record 5
A plane-wave DFT calculation with PBE-GGA was carried out for PmDy5YTm2 after structural relaxation.

**Energy relative to the elements**: 0.163 eV/atom
**Spin magnetization**: 0.0 μB per cell

Cell: 5.5874 10.3530 10.5286 Å, 90.00 90.00 105.66°
Sites, in units of the cell vectors:
Pm 0.7999 0.5998 0.5124
Pm 0.2001 0.4002 0.0124
Dy 0.3927 0.7854 0.0249
Dy 0.7199 0.4398 0.8082
Dy 0.4780 0.9559 0.7379
Dy 0.3004 0.6009 0.7077
Dy 0.9833 0.9666 0.5250
Dy 0.6073 0.2146 0.5249
Dy 0.2801 0.5602 0.3082
Dy 0.5220 0.0441 0.2379
Dy 0.6996 0.3991 0.2077
Dy 0.0167 0.0334 0.0250
Y 0.5869 0.1738 0.9524
Y 0.4131 0.8262 0.4524
Tm 0.8868 0.7735 0.8182
Tm 0.1099 0.2197 0.7372
Tm 0.1132 0.2265 0.3182
Tm 0.8901 0.7803 0.2372

Record 6
A plane-wave DFT calculation with PBE-GGA was carried out for Ca3CrBi after structural relaxation.

**Energy relative to the elements**: 0.360 eV/atom
**Spin magnetization**: 3.6 μB per cell

Cell: 5.5662 5.5662 5.5662 Å, 90.00 90.00 90.00°
Each line ends with the local moment (μB).
Sites, in units of the cell vectors:
Cr 0.0000 0.0000 0.0000  3.44
Ca 0.0000 0.5000 0.0000  -0.01
Ca 0.0000 0.0000 0.5000  -0.03
Ca 0.5000 0.0000 0.0000  -0.01
Bi 0.5000 0.5000 0.5000  0.07

Record 7
A plane-wave DFT calculation with PBE-GGA was carried out for Ho2Pa after structural relaxation.

**Energy relative to the elements**: 0.145 eV/atom
**Spin magnetization**: 0.0 μB per cell

Cell: 3.3942 3.3942 7.8714 Å, 102.45 102.45 89.92°
Sites, in units of the cell vectors:
Pa 0.5000 0.5000 0.0000
Ho 0.1575 0.1575 0.3147
Ho 0.8425 0.8425 0.6853

Record 8
A plane-wave DFT calculation with PBE-GGA was carried out for Ac2HoCu after structural relaxation.

**Energy relative to the elements**: 0.473 eV/atom
**Spin magnetization**: 0.0 μB per cell

Cell: 3.7771 3.7771 11.9967 Å, 80.94 80.94 60.00°
Sites, in units of the cell vectors:
Ac 0.0825 0.0825 0.7526
Ac 0.9175 0.9175 0.2474
Ho 0.5000 0.5000 0.5000
Cu 0.0000 0.0000 0.0000

Record 9
A plane-wave DFT calculation with PBE-GGA was carried out for NiAgSe after structural relaxation.

**Raw formation energy**: -0.02 eV per atom
**Spin magnetization**: 0.0 μB per cell

Cell: 4.0803 4.0803 6.1035 Å, 90.00 90.00 90.00°
Sites, in units of the cell vectors:
Ni 0.0000 0.0000 0.5000
Ni 0.5000 0.5000 0.5000
Se 0.0000 0.5000 0.2742
Se 0.5000 0.0000 0.7258
Ag 0.0000 0.5000 0.8267
Ag 0.5000 0.0000 0.1733

Record 10
A plane-wave DFT calculation with PBE-GGA was carried out for CsPa2Se5 after structural relaxation.

**Raw formation energy**: -1.44 eV per atom
**Spin magnetization**: 2.1 μB per cell

Cell: 7.8677 7.8677 9.9232 Å, 113.35 113.35 90.00°
Each line ends with the local moment (μB).
Sites, in units of the cell vectors:
Cs 0.7500 0.7500 0.5000  0.00
Cs 0.2500 0.2500 0.5000  0.00
Pa 0.1583 0.3417 0.0000  0.53
Pa 0.6583 0.1583 0.0000  0.53
Pa 0.3417 0.8417 0.0000  0.53
Pa 0.8417 0.6583 0.0000  0.53
Se 0.5352 0.7459 0.7811  -0.03
Se 0.7541 0.9648 0.2189  -0.03
Se 0.0000 0.0000 0.0000  -0.03
Se 0.5000 0.5000 0.0000  -0.03
Se 0.2459 0.0352 0.7811  -0.03
Se 0.7459 0.2459 0.7811  -0.03
Se 0.0352 0.5352 0.7811  -0.03
Se 0.2541 0.7541 0.2189  -0.03
Se 0.9648 0.4648 0.2189  -0.03
Se 0.4648 0.2541 0.2189  -0.03

Record 11
A plane-wave DFT calculation with PBE-GGA was carried out for AlAsP2 after structural relaxation.

**Energy relative to the elements**: 0.344 eV/atom
**Spin magnetization**: 0.0 μB per cell

Cell: 2.9469 2.9469 8.3049 Å, 90.00 90.00 90.00°
Sites, in units of the cell vectors:
P 0.0000 0.0000 0.0954
P 0.5000 0.5000 0.2287
As 0.5000 0.5000 0.7063
Al 0.0000 0.0000 0.4695

Record 12
A plane-wave DFT calculation with PBE-GGA was carried out for GaSiOs2 after structural relaxation.

**Raw formation energy**: -0.15 eV per atom
**Spin magnetization**: 0.0 μB per cell

Cell: 2.9852 2.9852 6.0814 Å, 90.00 90.00 90.00°
Sites, in units of the cell vectors:
Si 0.5000 0.5000 0.0000
Os 0.0000 0.0000 0.7644
Os 0.0000 0.0000 0.2356
Ga 0.5000 0.5000 0.5000

Record 13
A plane-wave DFT calculation with PBE-GGA was carried out for RbHg2Br4 after structural relaxation.

**Raw formation energy**: -0.80 eV per atom
**Spin magnetization**: 0.0 μB per cell

Cell: 10.8749 9.1611 8.1975 Å, 58.98 85.92 112.19°
Sites, in units of the cell vectors:
Br 0.2405 0.8884 0.5961
Br 0.2109 0.8777 0.0495
Br 0.9594 0.3929 0.6101
Br 0.6887 0.3729 0.2577
Br 0.3209 0.3732 0.0131
Br 0.8590 0.8381 0.4358
Br 0.6355 0.8754 0.8976
Br 0.3334 0.4350 0.5012
Hg 0.4464 0.2624 0.8294
Hg 0.4984 0.4880 0.1966
Hg 0.0941 0.8177 0.3853
Hg 0.7001 0.3238 0.6895
Rb 0.5369 0.8539 0.5088
Rb 0.9759 0.9506 0.7793

Record 14
A plane-wave DFT calculation with PBE-GGA was carried out for TaCrIr2 after structural relaxation.

**Energy relative to the elements**: -0.099 eV/atom
**Spin magnetization**: 0.0 μB per cell

Cell: 9.0328 9.0328 9.0328 Å, 17.66 17.66 17.66°
Sites, in units of the cell vectors:
Cr 0.7500 0.7500 0.7500
Ir 0.0062 0.0062 0.0062
Ir 0.4938 0.4938 0.4938
Ta 0.2500 0.2500 0.2500

Record 15
A plane-wave DFT calculation with PBE-GGA was carried out for TlIn2CuF after structural relaxation.

**Raw formation energy**: -0.32 eV per atom
**Spin magnetization**: 0.0 μB per cell

Cell: 5.0070 5.2592 5.0070 Å, 90.00 90.00 90.00°
Sites, in units of the cell vectors:
Tl 0.0000 0.5000 0.0000
F 0.5000 0.5000 0.5000
Cu 0.0000 0.0000 0.0000
In 0.0000 0.0000 0.5000
In 0.5000 0.0000 0.0000

Record 16
A plane-wave DFT calculation with PBE-GGA was carried out for Th5Ge4Te after structural relaxation.

**Raw formation energy**: -0.87 eV per atom
**Spin magnetization**: 0.0 μB per cell

Cell: 4.3355 6.1395 11.5168 Å, 105.46 100.85 90.00°
Sites, in units of the cell vectors:
Th 0.6102 0.1102 0.2204
Th 0.8009 0.3009 0.6018
Th 0.1991 0.6991 0.3982
Th 0.0000 0.5000 0.0000
Th 0.3898 0.8898 0.7796
Ge 0.4016 0.4016 0.8032
Ge 0.7970 0.7970 0.5940
Ge 0.2030 0.2030 0.4060
Ge 0.5984 0.5984 0.1968
Te 0.0000 0.0000 0.0000

Record 17
A plane-wave DFT calculation with PBE-GGA was carried out for AlPdRh after structural relaxation.

**Energy relative to the elements**: -0.699 eV/atom
**Spin magnetization**: 0.0 μB per cell

Cell: 2.9344 2.9344 5.4062 Å, 105.75 105.75 90.00°
Sites, in units of the cell vectors:
Rh 0.3151 0.3151 0.6302
Al 0.6722 0.6722 0.3443
Pd 0.0128 0.0128 0.0255

Record 18
A plane-wave DFT calculation with PBE-GGA was carried out for Tb4SbOs after structural relaxation.

**Raw formation energy**: -0.42 eV per atom
**Spin magnetization**: 0.0 μB per cell

Cell: 6.9208 6.9275 7.3984 Å, 90.00 93.29 90.00°
Sites, in units of the cell vectors:
Tb 0.7648 0.7514 0.2790
Tb 0.7352 0.2514 0.7210
Tb 0.2645 0.2514 0.2790
Tb 0.2355 0.7514 0.7210
Tb 0.2352 0.2486 0.7210
Tb 0.2648 0.7486 0.2790
Tb 0.7355 0.7486 0.7210
Tb 0.7645 0.2486 0.2790
Sb 0.0000 0.0000 0.0000
Sb 0.5000 0.5000 0.0000
Os 0.5000 0.0000 0.5000
Os 0.0000 0.5000 0.5000

Record 19
A plane-wave DFT calculation with PBE-GGA was carried out for AcHoZn2 after structural relaxation.

**Energy relative to the elements**: -0.269 eV/atom
**Spin magnetization**: 0.0 μB per cell

Cell: 3.7070 3.7070 7.5528 Å, 90.00 90.00 90.00°
Sites, in units of the cell vectors:
Zn 0.0000 0.0000 0.7911
Zn 0.0000 0.0000 0.2089
Ac 0.5000 0.5000 0.5000
Ho 0.5000 0.5000 0.0000

Record 20
A plane-wave DFT calculation with PBE-GGA was carried out for Be2CuW after structural relaxation.

**Energy relative to the elements**: 0.298 eV/atom
**Spin magnetization**: 0.0 μB per cell

Cell: 3.9668 3.9668 3.9668 Å, 60.00 60.00 60.00°
Sites, in units of the cell vectors:
Be 0.2500 0.2500 0.2500
Be 0.7500 0.7500 0.7500
Cu 0.0000 0.0000 0.0000
W 0.5000 0.5000 0.5000

Record 21
A plane-wave DFT calculation with PBE-GGA was carried out for Ca2InW after structural relaxation.

**Energy relative to the elements**: 0.428 eV/atom
**Spin magnetization**: 0.0 μB per cell

Cell: 3.0418 3.0418 10.2298 Å, 90.00 90.00 92.28°
Sites, in units of the cell vectors:
Ca 0.0000 0.0000 0.9868
Ca 0.0000 0.0000 0.5132
W 0.5000 0.5000 0.7500
In 0.5000 0.5000 0.2500

Record 22
A plane-wave DFT calculation with PBE-GGA was carried out for Y2NbCo2 after structural relaxation.

**Energy relative to the elements**: -0.060 eV/atom
**Spin magnetization**: 0.0 μB per cell

Cell: 6.5130 6.5130 4.5672 Å, 90.00 90.00 90.00°
Sites, in units of the cell vectors:
Y 0.1799 0.6799 0.5000
Y 0.6799 0.8201 0.5000
Y 0.8201 0.3201 0.5000
Y 0.3201 0.1799 0.5000
Nb 0.0000 0.0000 0.0000
Nb 0.5000 0.5000 0.0000
Co 0.3735 0.8735 0.0000
Co 0.8735 0.6265 0.0000
Co 0.6265 0.1265 0.0000
Co 0.1265 0.3735 0.0000

| no. | E (eV per atom) | V (Å³/atom) |
| --- | --- | --- |
| 1 | -5.52 | 17.8 |
| 2 | -4.68 | 32.9 |
| 3 | -7.61 | 23.7 |
| 4 | -3.63 | 34.6 |
| 5 | -4.63 | 32.6 |
| 6 | -3.54 | 34.5 |
| 7 | -6.07 | 28.8 |
| 8 | -3.75 | 36.4 |
| 9 | -4.06 | 16.9 |
| 10 | -6.10 | 31.8 |
| 11 | -4.46 | 18.0 |
| 12 | -7.87 | 13.5 |
| 13 | -1.98 | 43.6 |
| 14 | -9.90 | 14.8 |
| 15 | -3.08 | 26.4 |
| 16 | -6.74 | 29.0 |
| 17 | -6.13 | 14.3 |
| 18 | -6.06 | 29.5 |
| 19 | -3.08 | 25.9 |
| 20 | -5.83 | 11.0 |
| 21 | -4.50 | 23.6 |
| 22 | -7.50 | 19.4 |